(1)
{
  "formula": "Tl5HgTe4",
  "functional": "PBE-GGA",
  "state": "relaxed",
  "lattice_angstrom": [[9.959, -2.283, 0.000], [9.959, 2.283, 0.000], [-1.591, 0.000, 7.859]],
  "species": ["Tl", "Tl", "Tl", "Tl", "Tl", "Hg", "Te", "Te", "Te", "Te"],
  "frac_coords": [[0.000, 0.000, 0.000], [0.305, 0.305, 0.410], [0.318, 0.318, 0.895], [0.682, 0.682, 0.105], [0.695, 0.695, 0.590], [0.000, 0.000, 0.500], [0.145, 0.145, 0.824], [0.447, 0.447, 0.681], [0.553, 0.553, 0.319], [0.855, 0.855, 0.176]],
  "e_form_raw_mev_per_atom": -186,
  "energy_ev_per_atom": -2.656,
  "rho_g_cm3": 8.05,
  "n_ef_per_ev_cell": 5.0
}

(2)
{
  "formula": "BeP2Pt",
  "functional": "PBE-GGA",
  "state": "relaxed",
  "lattice_angstrom": [[3.314, 0.000, 0.000], [0.000, 3.314, 0.000], [0.000, 0.000, 4.972]],
  "species": ["Be", "P", "P", "Pt"],
  "frac_coords": [[0.000, 0.000, 0.000], [0.500, 0.500, 0.217], [0.500, 0.500, 0.783], [0.000, 0.000, 0.500]],
  "energy_ev_per_atom": -4.943,
  "formation_energy_ev_per_atom": 0.203,
  "rho_g_cm3": 8.09,
  "n_ef_per_ev_cell": 2.1
}

(3)
{
  "formula": "Cs3Tl5",
  "functional": "PBE-GGA",
  "state": "relaxed",
  "lattice_angstrom": [[3.987, -9.760, 0.000], [3.987, 9.760, 0.000], [-1.522, 0.000, 9.693]],
  "species": ["Cs", "Cs", "Cs", "Cs", "Cs", "Cs", "Tl", "Tl", "Tl", "Tl", "Tl", "Tl", "Tl", "Tl", "Tl", "Tl"],
  "frac_coords": [[0.000, 0.000, 0.000], [0.289, 0.289, 0.394], [0.310, 0.981, 0.697], [0.366, 0.921, 0.197], [0.921, 0.366, 0.197], [0.981, 0.310, 0.697], [0.405, 0.567, 0.075], [0.464, 0.753, 0.540], [0.469, 0.469, 0.770], [0.537, 0.827, 0.855], [0.567, 0.405, 0.075], [0.721, 0.883, 0.319], [0.753, 0.464, 0.540], [0.823, 0.823, 0.623], [0.827, 0.537, 0.855], [0.883, 0.721, 0.319]],
  "energy_ev_per_atom": -1.872,
  "formation_energy_ev_per_atom": -0.073,
  "rho_g_cm3": 6.25,
  "n_ef_per_ev_cell": 11.7
}

(4)
{
  "formula": "BaTa2Ni",
  "functional": "PBE-GGA",
  "state": "relaxed",
  "lattice_angstrom": [[2.983, 0.000, 0.000], [0.000, 5.078, 0.000], [0.000, 0.000, 11.211]],
  "species": ["Ba", "Ba", "Ta", "Ta", "Ta", "Ta", "Ni", "Ni"],
  "frac_coords": [[0.000, 0.000, 0.000], [0.500, 0.500, 0.500], [0.000, 0.500, 0.206], [0.000, 0.500, 0.794], [0.500, 0.000, 0.294], [0.500, 0.000, 0.706], [0.000, 0.000, 0.500], [0.500, 0.500, 0.000]],
  "energy_ev_per_atom": -7.175,
  "formation_energy_ev_per_atom": 0.677,
  "rho_g_cm3": 10.91,
  "n_ef_per_ev_cell": 11.1
}

Copy entry 3 word for word.
{
  "formula": "Cs3Tl5",
  "functional": "PBE-GGA",
  "state": "relaxed",
  "lattice_angstrom": [[3.987, -9.760, 0.000], [3.987, 9.760, 0.000], [-1.522, 0.000, 9.693]],
  "species": ["Cs", "Cs", "Cs", "Cs", "Cs", "Cs", "Tl", "Tl", "Tl", "Tl", "Tl", "Tl", "Tl", "Tl", "Tl", "Tl"],
  "frac_coords": [[0.000, 0.000, 0.000], [0.289, 0.289, 0.394], [0.310, 0.981, 0.697], [0.366, 0.921, 0.197], [0.921, 0.366, 0.197], [0.981, 0.310, 0.697], [0.405, 0.567, 0.075], [0.464, 0.753, 0.540], [0.469, 0.469, 0.770], [0.537, 0.827, 0.855], [0.567, 0.405, 0.075], [0.721, 0.883, 0.319], [0.753, 0.464, 0.540], [0.823, 0.823, 0.623], [0.827, 0.537, 0.855], [0.883, 0.721, 0.319]],
  "energy_ev_per_atom": -1.872,
  "formation_energy_ev_per_atom": -0.073,
  "rho_g_cm3": 6.25,
  "n_ef_per_ev_cell": 11.7
}